Model P:
Here is a geometry-optimized AlPW2 structure from Alexandria via LeMat-Bulk. Energies are from GGA-PBEsol.

Cell: 4.3760 4.3760 4.3760 Å, 60.00 60.00 60.00°
With the nearest neighbours (Å) after each atom.
Fractional coordinates of all 4 atoms:
Al: 0.0000 0.0000 0.0000  4 W 2.68, 4 P 2.68
P: 0.7500 0.7500 0.7500  4 W 2.68, 4 Al 2.68
W: 0.2500 0.2500 0.2500  4 W 2.68, 4 Al 2.68
W: 0.5000 0.5000 0.5000  4 W 2.68, 4 P 2.68

Calculated values
Spin magnetization   0.00 μB per atom
Symmetry   F-43m, No. 216
Volume   14.813 A^3/atom

Model Q:
Here is a geometry-optimized AlPW2 structure from Alexandria via LeMat-Bulk. Energies are from GGA-PBEsol.

Cell: 2.8893 2.8893 16.2331 Å, 90.00 90.00 120.00°
With the nearest neighbours (Å) after each atom.
Fractional coordinates of all 8 atoms:
Al: 0.3333 0.6667 0.2500  6 W 2.76, 6 Al 2.89
Al: 0.6667 0.3333 0.7500  6 W 2.76, 6 Al 2.89
P: 0.0000 0.0000 0.0000  6 W 2.50
P: 0.0000 0.0000 0.5000  6 W 2.50
W: 0.3333 0.6667 0.6148  3 P 2.50, 3 Al 2.76
W: 0.3333 0.6667 0.8852  3 P 2.50, 3 Al 2.76
W: 0.6667 0.3333 0.1148  3 P 2.50, 3 Al 2.76
W: 0.6667 0.3333 0.3852  3 P 2.50, 3 Al 2.76

Calculated values
Spin magnetization   0.00 μB per atom
Symmetry   P6_3/mmc, No. 194
Volume   14.670 A^3/atom

Model R:
Here is a geometry-optimized AlPW2 structure from Alexandria via LeMat-Bulk. Energies are from GGA-PBEsol.

Cell: 4.2653 4.2653 3.0956 Å, 90.00 90.00 90.00°
With the nearest neighbours (Å) after each atom.
Fractional coordinates of all 4 atoms:
Al: 0.0000 0.0000 0.0000  8 W 2.64
P: 0.5000 0.5000 0.0000  8 W 2.64
W: 0.0000 0.5000 0.5000  4 P 2.64, 4 Al 2.64
W: 0.5000 0.0000 0.5000  4 P 2.64, 4 Al 2.64

Calculated values
Spin magnetization   0.00 μB per atom
Symmetry   P4/mmm, No. 123
Volume   14.080 A^3/atom

Each structure's energy above the most stable one, in meV/atom: model P 282; model Q 0; model R 219.